VASP calculation (PBE) on a geometry-optimized Be3SbRu structure.

Calculated values
- ΔE_f (raw) (eV per atom) = 1.69
- symmetry = Pm-3m (221)

```
Be3SbRu
1.0
4.463 0.000 0.000
0.000 4.463 0.000
0.000 0.000 4.463
Be Ru Sb
3 1 1
Direct
0.500 0.000 0.000
0.000 0.000 0.500
0.000 0.500 0.000
0.500 0.500 0.500
0.000 0.000 0.000
```